Material: HfBeN2
Method: DFT, SCAN
State: PBEsol geometry

```
HfBeN2
1.0
3.039 0.000 0.000
-1.520 2.632 0.000
0.000 0.000 16.707
Hf Be N
3 3 6
Direct
0.000 0.000 0.000 Hf
0.333 0.667 0.667 Hf
0.667 0.333 0.333 Hf
0.000 0.000 0.500 Be
0.333 0.667 0.167 Be
0.667 0.333 0.833 Be
0.000 0.000 0.119 N
0.000 0.000 0.881 N
0.333 0.667 0.548 N
0.333 0.667 0.785 N
0.667 0.333 0.215 N
0.667 0.333 0.452 N
```

DFT total energy ... -21.0898 eV/atom
Calculated volume ... 133.7 Å³/cell